# ErAlGaNi (PBE, optimized geometry)
data_ErAlGaNi
_chemical_formula_sum 'Er4 Al4 Ga4 Ni4'
_cell_length_a 6.799
_cell_length_b 4.050
_cell_length_c 10.029
_cell_angle_alpha 90.00
_cell_angle_beta 90.00
_cell_angle_gamma 90.00
_symmetry_space_group_name_H-M 'A m m 2'
_symmetry_Int_Tables_number 38
loop_
_symmetry_equiv_pos_as_xyz
'x,y,z'
'-x,-y,z'
'-x,y,z'
'x,-y,z'
'x,y+1/2,z+1/2'
'-x,-y+1/2,z+1/2'
'-x,y+1/2,z+1/2'
'x,-y+1/2,z+1/2'
loop_
_atom_site_label
_atom_site_type_symbol
_atom_site_fract_x
_atom_site_fract_y
_atom_site_fract_z
_atom_site_occupancy
Er1 Er 0.000 0.000 0.000 1
Er2 Er 0.500 0.000 0.129 1
Al1 Al 0.196 0.000 0.719 1
Ga1 Ga 0.302 0.000 0.417 1
Ni1 Ni 0.000 0.000 0.276 1
Ni2 Ni 0.500 0.000 0.847 1
# * ΔE to the lowest computed polymorph: 6 meV per atom
# * DFT total energy: -4.88 eV per atom
# * M_tot: 0.00 μB/f.u.

# ScFeSiPt (PBE, optimized geometry)
data_ScFeSiPt
_chemical_formula_sum 'Sc4 Fe4 Si4 Pt4'
_cell_length_a 6.115
_cell_length_b 6.115
_cell_length_c 6.115
_cell_angle_alpha 90.00
_cell_angle_beta 90.00
_cell_angle_gamma 90.00
_symmetry_space_group_name_H-M 'F -4 3 m'
_symmetry_Int_Tables_number 216
_symmetry_space_group_name_Hall 'F -4 2 3'
loop_
_atom_site_label
_atom_site_type_symbol
_atom_site_fract_x
_atom_site_fract_y
_atom_site_fract_z
_atom_site_occupancy
Sc1 Sc 0.000 0.000 0.000 1
Fe1 Fe 0.250 0.250 0.750 1
Si1 Si 0.000 0.000 0.500 1
Pt1 Pt 0.250 0.250 0.250 1
# * ΔE to the lowest computed polymorph: 0 meV per atom
# * DFT total energy: -7.14 eV per atom
# * M_tot: 1.00 μB/f.u.

# TbYNi2Ge4 (PBE, optimized geometry)
data_TbYNi2Ge4
_chemical_formula_sum 'Tb2 Y2 Ni4 Ge8'
_cell_length_a 4.190
_cell_length_b 4.124
_cell_length_c 16.693
_cell_angle_alpha 90.00
_cell_angle_beta 90.00
_cell_angle_gamma 90.00
_symmetry_space_group_name_H-M 'A m m 2'
_symmetry_Int_Tables_number 38
loop_
_symmetry_equiv_pos_as_xyz
'x,y,z'
'-x,-y,z'
'-x,y,z'
'x,-y,z'
'x,y+1/2,z+1/2'
'-x,-y+1/2,z+1/2'
'-x,y+1/2,z+1/2'
'x,-y+1/2,z+1/2'
loop_
_atom_site_label
_atom_site_type_symbol
_atom_site_fract_x
_atom_site_fract_y
_atom_site_fract_z
_atom_site_occupancy
Tb1 Tb 0.000 0.000 0.000 1
Y1 Y 0.500 0.000 0.784 1
Ni1 Ni 0.000 0.000 0.213 1
Ni2 Ni 0.500 0.000 0.571 1
Ge1 Ge 0.000 0.000 0.351 1
Ge2 Ge 0.000 0.000 0.641 1
Ge3 Ge 0.500 0.000 0.143 1
Ge4 Ge 0.500 0.000 0.433 1
# * DFT total energy: -5.80 eV per atom
# * M_tot: 0.00 μB/f.u.